Entry 1:
DFT (PBE) results for Dy3Ge8Rh3 after structural relaxation.

The calculated volume comes out at 262 Å³ per cell. The uncorrected energy is -0.21281 Ha/atom. As for the space group: C2/m (12). The formation energy comes out at -0.591 eV/atom.

Lattice parameters (Å, degrees): 4.433 8.281 8.553 61.32 74.98 74.47
Positions (direct):
Ge 0.873 0.841 0.413
Ge 0.162 0.557 0.118
Ge 0.361 0.005 0.274
Ge 0.127 0.159 0.587
Ge 0.639 0.995 0.726
Ge 0.483 0.341 0.693
Ge 0.838 0.443 0.882
Ge 0.517 0.659 0.307
Dy 0.286 0.739 0.689
Dy 0.714 0.261 0.311
Dy 0.000 0.000 0.000
Rh 0.000 0.500 0.500
Rh 0.344 0.302 0.010
Rh 0.656 0.698 0.990

***

Entry 2:
DFT (PBE) results for DyGeRh3 after structural relaxation.

The calculated volume comes out at 175 Å³ per cell. The uncorrected energy is -0.25236 Ha/atom. As for the space group: Imma (74). The formation energy comes out at -0.612 eV/atom.

Lattice parameters (Å, degrees): 6.305 6.305 6.305 106.27 128.72 95.41
Positions (direct):
Ge 0.500 0.500 0.000
Ge 0.500 0.000 0.500
Rh 0.684 0.934 0.250
Rh 0.000 0.699 0.199
Rh 0.500 0.699 0.699
Rh 0.500 0.301 0.301
Rh 0.316 0.066 0.750
Rh 0.000 0.301 0.801
Dy 0.007 0.257 0.250
Dy 0.993 0.743 0.750

***

Entry 3:
DFT (PBE) results for Dy3Ge2Rh5 after structural relaxation.

The calculated volume comes out at 363 Å³ per cell. The uncorrected energy is -0.25149 Ha/atom. As for the space group: P4/mbm (127). The formation energy comes out at -0.864 eV/atom.

Lattice parameters (Å, degrees): 3.671 9.949 9.949 90.00 90.00 90.00
Positions (direct):
Ge 0.000 0.877 0.377
Ge 0.000 0.623 0.877
Ge 0.000 0.377 0.123
Ge 0.000 0.123 0.623
Dy 0.000 0.827 0.673
Dy 0.000 0.500 0.500
Dy 0.000 0.000 0.000
Dy 0.000 0.327 0.827
Dy 0.000 0.673 0.173
Dy 0.000 0.173 0.327
Rh 0.500 0.930 0.216
Rh 0.500 0.570 0.716
Rh 0.500 0.284 0.570
Rh 0.500 0.784 0.930
Rh 0.500 0.716 0.430
Rh 0.500 0.000 0.500
Rh 0.500 0.500 0.000
Rh 0.500 0.216 0.070
Rh 0.500 0.430 0.284
Rh 0.500 0.070 0.784

***

Entry 4:
DFT (PBE) results for DyGe3Rh after structural relaxation.

The calculated volume comes out at 195 Å³ per cell. The uncorrected energy is -0.21148 Ha/atom. As for the space group: Pmn2_1 (31). The formation energy comes out at -0.593 eV/atom.

Lattice parameters (Å, degrees): 5.821 5.616 5.977 90.00 90.00 89.99
Positions (direct):
Ge 0.356 0.272 0.201
Ge 0.969 0.493 0.465
Ge 0.469 0.860 0.436
Ge 0.969 0.493 0.936
Ge 0.469 0.860 0.965
Ge 0.857 0.081 0.701
Dy 0.424 0.325 0.701
Dy 0.924 0.028 0.201
Rh 0.660 0.557 0.201
Rh 0.160 0.796 0.701